Entry 1:
# PBE Tl2ZnBr, relaxed
data_Tl2ZnBr
_space_group_name_H-M_alt 'I 4/m m m'
_space_group_IT_number 139
_space_group_name_Hall '-I 4 2'
_cell_length_a 4.965
_cell_length_b 4.965
_cell_length_c 9.653
_cell_angle_alpha 90.00
_cell_angle_beta 90.00
_cell_angle_gamma 90.00
loop_
_atom_site_label
_atom_site_fract_x
_atom_site_fract_y
_atom_site_fract_z
Tl1 0.000 0.500 0.250
Zn1 0.000 0.000 0.000
Br1 0.000 0.000 0.500
# Energy above the lowest structure with this stoichiometry, meV per atom: 58
# D(E_F), states/eV per cell: 2.94
# Calculated total energy, eV/cell: -16.5
# Total magnetization, μB/f.u.: 0.00
# Raw formation energy, eV per atom: -0.147
# Calculated volume, Å³ per cell: 238.0

***

Entry 2:
# PBE TlZnBr2, relaxed
data_TlZnBr2
_space_group_name_H-M_alt 'C m m 2'
_space_group_IT_number 35
_cell_length_a 3.864
_cell_length_b 7.052
_cell_length_c 9.482
_cell_angle_alpha 90.00
_cell_angle_beta 90.00
_cell_angle_gamma 90.00
loop_
_space_group_symop_operation_xyz
'x,y,z'
'-x,-y,z'
'-x,y,z'
'x,-y,z'
'x+1/2,y+1/2,z'
'-x+1/2,-y+1/2,z'
'-x+1/2,y+1/2,z'
'x+1/2,-y+1/2,z'
loop_
_atom_site_label
_atom_site_fract_x
_atom_site_fract_y
_atom_site_fract_z
Tl1 0.000 0.000 0.000
Zn1 0.000 0.500 0.766
Br1 0.000 0.000 0.598
Br2 0.000 0.500 0.224
# Energy above the lowest structure with this stoichiometry, meV per atom: 179
# D(E_F), states/eV per cell: 1.60
# Calculated total energy, eV/cell: -16.7
# Total magnetization, μB/f.u.: 0.00
# Raw formation energy, eV per atom: -0.335
# Calculated volume, Å³ per cell: 258.3

***

Entry 3:
# PBE TlZn4Br, relaxed
data_TlZn4Br
_space_group_name_H-M_alt 'F -4 3 m'
_space_group_IT_number 216
_space_group_name_Hall 'F -4 2 3'
_cell_length_a 8.072
_cell_length_b 8.072
_cell_length_c 8.072
_cell_angle_alpha 90.00
_cell_angle_beta 90.00
_cell_angle_gamma 90.00
loop_
_atom_site_label
_atom_site_fract_x
_atom_site_fract_y
_atom_site_fract_z
Tl1 0.000 0.000 0.000
Zn1 0.125 0.125 0.625
Br1 0.250 0.250 0.250
# D(E_F), states/eV per cell: 9.14
# Calculated total energy, eV/cell: -33.9
# Total magnetization, μB/f.u.: 0.00
# Raw formation energy, eV per atom: 0.111
# Calculated volume, Å³ per cell: 525.9

***

Entry 4:
# PBE TlZnBr2, relaxed
data_TlZnBr2
_space_group_name_H-M_alt 'R -3 m'
_space_group_IT_number 166
_space_group_name_Hall '-R 3 2"'
_cell_length_a 3.7575
_cell_length_b 3.7575
_cell_length_c 29.6698
_cell_angle_alpha 90.00
_cell_angle_beta 90.00
_cell_angle_gamma 120.00
loop_
_atom_site_label
_atom_site_fract_x
_atom_site_fract_y
_atom_site_fract_z
Tl1 0.0000 0.0000 0.0000
Zn1 0.0000 0.0000 0.5000
Br1 0.0000 0.0000 0.1150
# Energy above the lowest structure with this stoichiometry, meV per atom: 19
# D(E_F), states/eV per cell: 2.62
# Calculated total energy, eV/cell: -26.9
# Total magnetization, μB/f.u.: 0.00
# Raw formation energy, eV per atom: -0.495
# Calculated volume, Å³ per cell: 362.8

***

Entry 5:
# PBE TlZn3Br9, relaxed
data_TlZn3Br9
_space_group_name_H-M_alt 'C 1 c 1'
_space_group_IT_number 9
_cell_length_a 18.638
_cell_length_b 9.357
_cell_length_c 13.382
_cell_angle_alpha 90.00
_cell_angle_beta 129.07
_cell_angle_gamma 90.00
loop_
_space_group_symop_operation_xyz
'x,y,z'
'x,-y,z+1/2'
'x+1/2,y+1/2,z'
'x+1/2,-y+1/2,z+1/2'
loop_
_atom_site_label
_atom_site_fract_x
_atom_site_fract_y
_atom_site_fract_z
Tl1 0.000 0.227 0.000
Zn1 0.137 0.119 0.825
Zn2 0.231 0.430 0.717
Zn3 0.360 0.071 0.666
Br1 0.007 0.073 0.824
Br2 0.108 0.349 0.721
Br3 0.147 0.067 0.207
Br4 0.155 0.381 0.054
Br5 0.241 0.252 0.588
Br6 0.299 0.135 0.022
Br7 0.362 0.486 0.430
Br8 0.397 0.028 0.367
Br9 0.491 0.184 0.700
# Calculated total energy, eV/cell: -121.0
# Total magnetization, μB/f.u.: 0.00
# Raw formation energy, eV per atom: -0.692
# Calculated volume, Å³ per cell: 1812.0

***

Entry 6:
# PBE Tl2ZnBr, relaxed
data_Tl2ZnBr
_space_group_name_H-M_alt 'P m m m'
_space_group_IT_number 47
_cell_length_a 3.943
_cell_length_b 4.041
_cell_length_c 7.261
_cell_angle_alpha 90.00
_cell_angle_beta 90.00
_cell_angle_gamma 90.00
loop_
_space_group_symop_operation_xyz
'x,y,z'
'-x,-y,-z'
'-x,-y,z'
'x,y,-z'
'x,-y,-z'
'-x,y,z'
'-x,y,-z'
'x,-y,z'
loop_
_atom_site_label
_atom_site_fract_x
_atom_site_fract_y
_atom_site_fract_z
Tl1 0.000 0.000 0.232
Zn1 0.500 0.500 0.000
Br1 0.500 0.500 0.500
# Energy above the lowest structure with this stoichiometry, meV per atom: 30
# D(E_F), states/eV per cell: 1.48
# Calculated total energy, eV/cell: -8.4
# Total magnetization, μB/f.u.: 0.00
# Raw formation energy, eV per atom: -0.174
# Calculated volume, Å³ per cell: 115.7

***

Entry 7:
# PBE Tl2ZnBr, relaxed
data_Tl2ZnBr
_space_group_name_H-M_alt 'F m -3 m'
_space_group_IT_number 225
_space_group_name_Hall '-F 4 2 3'
_cell_length_a 7.865
_cell_length_b 7.865
_cell_length_c 7.865
_cell_angle_alpha 90.00
_cell_angle_beta 90.00
_cell_angle_gamma 90.00
loop_
_atom_site_label
_atom_site_fract_x
_atom_site_fract_y
_atom_site_fract_z
Tl1 0.250 0.250 0.250
Zn1 0.000 0.000 0.000
Br1 0.000 0.000 0.500
# Energy above the lowest structure with this stoichiometry, meV per atom: 100
# D(E_F), states/eV per cell: 13.25
# Calculated total energy, eV/cell: -32.4
# Total magnetization, μB/f.u.: 0.00
# Raw formation energy, eV per atom: -0.105
# Calculated volume, Å³ per cell: 486.5

***

Entry 8:
# PBE TlZnBr2, relaxed
data_TlZnBr2
_space_group_name_H-M_alt 'R 3 m'
_space_group_IT_number 160
_space_group_name_Hall 'R 3 -2"'
_cell_length_a 3.9829
_cell_length_b 3.9829
_cell_length_c 26.1150
_cell_angle_alpha 90.00
_cell_angle_beta 90.00
_cell_angle_gamma 120.00
loop_
_atom_site_label
_atom_site_fract_x
_atom_site_fract_y
_atom_site_fract_z
Tl1 0.0000 0.0000 0.0000
Zn1 0.0000 0.0000 0.7417
Br1 0.0000 0.0000 0.2598
Br2 0.0000 0.0000 0.4605
# Energy above the lowest structure with this stoichiometry, meV per atom: 59
# D(E_F), states/eV per cell: 4.52
# Calculated total energy, eV/cell: -26.4
# Total magnetization, μB/f.u.: 0.00
# Raw formation energy, eV per atom: -0.455
# Calculated volume, Å³ per cell: 358.8

***

Entry 9:
# PBE TlZnBr, relaxed
data_TlZnBr
_space_group_name_H-M_alt 'F m m 2'
_space_group_IT_number 42
_space_group_name_Hall 'F 2 -2'
_cell_length_a 5.402
_cell_length_b 5.477
_cell_length_c 11.611
_cell_angle_alpha 90.00
_cell_angle_beta 90.00
_cell_angle_gamma 90.00
loop_
_atom_site_label
_atom_site_fract_x
_atom_site_fract_y
_atom_site_fract_z
Tl1 0.000 0.000 0.000
Zn1 0.000 0.000 0.332
Br1 0.000 0.000 0.689
# Energy above the lowest structure with this stoichiometry, meV per atom: 38
# D(E_F), states/eV per cell: 1.40
# Calculated total energy, eV/cell: -23.9
# Total magnetization, μB/f.u.: 0.00
# Raw formation energy, eV per atom: -0.225
# Calculated volume, Å³ per cell: 343.5

***

Entry 10:
# PBE TlZnBr, relaxed
data_TlZnBr
_space_group_name_H-M_alt 'C 1 m 1'
_space_group_IT_number 8
_cell_length_a 11.956
_cell_length_b 3.841
_cell_length_c 3.855
_cell_angle_alpha 90.00
_cell_angle_beta 94.15
_cell_angle_gamma 90.00
loop_
_space_group_symop_operation_xyz
'x,y,z'
'x,-y,z'
'x+1/2,y+1/2,z'
'x+1/2,-y+1/2,z'
loop_
_atom_site_label
_atom_site_fract_x
_atom_site_fract_y
_atom_site_fract_z
Tl1 0.000 0.000 0.000
Zn1 0.143 0.500 0.533
Br1 0.297 0.000 0.469
# Energy above the lowest structure with this stoichiometry, meV per atom: 17
# D(E_F), states/eV per cell: 0.74
# Calculated total energy, eV/cell: -12.1
# Total magnetization, μB/f.u.: 0.00
# Raw formation energy, eV per atom: -0.245
# Calculated volume, Å³ per cell: 176.5

***

Entry 11:
# PBE TlZn2Br2, relaxed
data_TlZn2Br2
_space_group_name_H-M_alt 'I 4/m m m'
_space_group_IT_number 139
_space_group_name_Hall '-I 4 2'
_cell_length_a 3.800
_cell_length_b 3.800
_cell_length_c 18.589
_cell_angle_alpha 90.00
_cell_angle_beta 90.00
_cell_angle_gamma 90.00
loop_
_atom_site_label
_atom_site_fract_x
_atom_site_fract_y
_atom_site_fract_z
Tl1 0.000 0.000 0.000
Zn1 0.000 0.500 0.250
Br1 0.000 0.000 0.389
# Energy above the lowest structure with this stoichiometry, meV per atom: 0
# D(E_F), states/eV per cell: 2.46
# Calculated total energy, eV/cell: -19.5
# Total magnetization, μB/f.u.: 0.00
# Raw formation energy, eV per atom: -0.299
# Calculated volume, Å³ per cell: 268.5

***

Entry 12:
# PBE TlZnBr2, relaxed
data_TlZnBr2
_space_group_name_H-M_alt 'I m m 2'
_space_group_IT_number 44
_cell_length_a 3.884
_cell_length_b 4.134
_cell_length_c 15.496
_cell_angle_alpha 90.00
_cell_angle_beta 90.00
_cell_angle_gamma 90.00
loop_
_space_group_symop_operation_xyz
'x,y,z'
'-x,-y,z'
'-x,y,z'
'x,-y,z'
'x+1/2,y+1/2,z+1/2'
'-x+1/2,-y+1/2,z+1/2'
'-x+1/2,y+1/2,z+1/2'
'x+1/2,-y+1/2,z+1/2'
loop_
_atom_site_label
_atom_site_fract_x
_atom_site_fract_y
_atom_site_fract_z
Tl1 0.000 0.000 0.000
Zn1 0.000 0.500 0.280
Br1 0.000 0.000 0.598
Br2 0.000 0.500 0.803
# Energy above the lowest structure with this stoichiometry, meV per atom: 83
# D(E_F), states/eV per cell: 2.16
# Calculated total energy, eV/cell: -17.4
# Total magnetization, μB/f.u.: 0.00
# Raw formation energy, eV per atom: -0.431
# Calculated volume, Å³ per cell: 248.9

***

Entry 13:
# PBE TlZnBr2, relaxed
data_TlZnBr2
_space_group_name_H-M_alt 'P 4 m m'
_space_group_IT_number 99
_cell_length_a 4.067
_cell_length_b 4.067
_cell_length_c 7.953
_cell_angle_alpha 90.00
_cell_angle_beta 90.00
_cell_angle_gamma 90.00
loop_
_space_group_symop_operation_xyz
'x,y,z'
'-y,x,z'
'-x,-y,z'
'y,-x,z'
'-x,y,z'
'y,x,z'
'x,-y,z'
'-y,-x,z'
loop_
_atom_site_label
_atom_site_fract_x
_atom_site_fract_y
_atom_site_fract_z
Tl1 0.000 0.000 0.000
Zn1 0.500 0.500 0.471
Br1 0.000 0.000 0.436
Br2 0.500 0.500 0.817
# Energy above the lowest structure with this stoichiometry, meV per atom: 57
# D(E_F), states/eV per cell: 1.37
# Calculated total energy, eV/cell: -8.8
# Total magnetization, μB/f.u.: 0.00
# Raw formation energy, eV per atom: -0.457
# Calculated volume, Å³ per cell: 131.6

***

Entry 14:
# PBE TlZn2Br2, relaxed
data_TlZn2Br2
_space_group_name_H-M_alt 'I 4/m m m'
_space_group_IT_number 139
_space_group_name_Hall '-I 4 2'
_cell_length_a 5.771
_cell_length_b 5.771
_cell_length_c 8.333
_cell_angle_alpha 90.00
_cell_angle_beta 90.00
_cell_angle_gamma 90.00
loop_
_atom_site_label
_atom_site_fract_x
_atom_site_fract_y
_atom_site_fract_z
Tl1 0.000 0.000 0.000
Zn1 0.000 0.000 0.354
Br1 0.000 0.500 0.250
# Energy above the lowest structure with this stoichiometry, meV per atom: 5
# D(E_F), states/eV per cell: 3.21
# Calculated total energy, eV/cell: -19.5
# Total magnetization, μB/f.u.: 0.00
# Raw formation energy, eV per atom: -0.294
# Calculated volume, Å³ per cell: 277.5

***

Entry 15:
# PBE TlZnBr, relaxed
data_TlZnBr
_space_group_name_H-M_alt 'P 3 m 1'
_space_group_IT_number 156
_cell_length_a 4.6119
_cell_length_b 4.6119
_cell_length_c 5.1155
_cell_angle_alpha 90.00
_cell_angle_beta 90.00
_cell_angle_gamma 120.00
loop_
_space_group_symop_operation_xyz
'x,y,z'
'-y,x-y,z'
'-x+y,-x,z'
'-y,-x,z'
'-x+y,y,z'
'x,x-y,z'
loop_
_atom_site_label
_atom_site_fract_x
_atom_site_fract_y
_atom_site_fract_z
Tl1 0.0000 0.0000 0.0000
Zn1 0.6667 0.3333 0.3015
Br1 0.3333 0.6667 0.6005
# Energy above the lowest structure with this stoichiometry, meV per atom: 0
# D(E_F), states/eV per cell: 0.05
# Calculated total energy, eV/cell: -6.1
# Total magnetization, μB/f.u.: 0.00
# Raw formation energy, eV per atom: -0.262
# Calculated volume, Å³ per cell: 94.2

***

Entry 16:
# PBE TlZnBr2, relaxed
data_TlZnBr2
_space_group_name_H-M_alt 'C m m m'
_space_group_IT_number 65
_space_group_name_Hall '-C 2 2'
_cell_length_a 4.765
_cell_length_b 6.605
_cell_length_c 7.773
_cell_angle_alpha 90.00
_cell_angle_beta 90.00
_cell_angle_gamma 90.00
loop_
_atom_site_label
_atom_site_fract_x
_atom_site_fract_y
_atom_site_fract_z
Tl1 0.000 0.000 0.000
Zn1 0.000 0.000 0.500
Br1 0.000 0.500 0.282
# Energy above the lowest structure with this stoichiometry, meV per atom: 166
# D(E_F), states/eV per cell: 3.07
# Calculated total energy, eV/cell: -16.8
# Total magnetization, μB/f.u.: 0.00
# Raw formation energy, eV per atom: -0.348
# Calculated volume, Å³ per cell: 244.6

***

Entry 17:
# PBE TlZnBr2, relaxed
data_TlZnBr2
_space_group_name_H-M_alt 'F m -3 m'
_space_group_IT_number 225
_space_group_name_Hall '-F 4 2 3'
_cell_length_a 7.696
_cell_length_b 7.696
_cell_length_c 7.696
_cell_angle_alpha 90.00
_cell_angle_beta 90.00
_cell_angle_gamma 90.00
loop_
_atom_site_label
_atom_site_fract_x
_atom_site_fract_y
_atom_site_fract_z
Tl1 0.000 0.000 0.000
Zn1 0.000 0.000 0.500
Br1 0.250 0.250 0.250
# Energy above the lowest structure with this stoichiometry, meV per atom: 199
# D(E_F), states/eV per cell: 13.93
# Calculated total energy, eV/cell: -33.0
# Total magnetization, μB/f.u.: 0.49
# Raw formation energy, eV per atom: -0.315
# Calculated volume, Å³ per cell: 455.8

***

Entry 18:
# PBE TlZnBr2, relaxed
data_TlZnBr2
_space_group_name_H-M_alt 'I m m m'
_space_group_IT_number 71
_space_group_name_Hall '-I 2 2'
_cell_length_a 4.591
_cell_length_b 6.617
_cell_length_c 8.225
_cell_angle_alpha 90.00
_cell_angle_beta 90.00
_cell_angle_gamma 90.00
loop_
_atom_site_label
_atom_site_fract_x
_atom_site_fract_y
_atom_site_fract_z
Tl1 0.000 0.000 0.000
Zn1 0.000 0.000 0.500
Br1 0.000 0.500 0.205
# Energy above the lowest structure with this stoichiometry, meV per atom: 127
# D(E_F), states/eV per cell: 2.16
# Calculated total energy, eV/cell: -17.1
# Total magnetization, μB/f.u.: 0.00
# Raw formation energy, eV per atom: -0.387
# Calculated volume, Å³ per cell: 249.8

***

Entry 19:
# PBE Tl2ZnBr4, relaxed
data_Tl2ZnBr4
_space_group_name_H-M_alt 'I 4/m m m'
_space_group_IT_number 139
_space_group_name_Hall '-I 4 2'
_cell_length_a 4.964
_cell_length_b 4.964
_cell_length_c 20.010
_cell_angle_alpha 90.00
_cell_angle_beta 90.00
_cell_angle_gamma 90.00
loop_
_atom_site_label
_atom_site_fract_x
_atom_site_fract_y
_atom_site_fract_z
Tl1 0.000 0.000 0.167
Zn1 0.000 0.000 0.000
Br1 0.000 0.000 0.315
Br2 0.000 0.500 0.000
# Energy above the lowest structure with this stoichiometry, meV per atom: 241
# D(E_F), states/eV per cell: 1.18
# Calculated total energy, eV/cell: -34.4
# Total magnetization, μB/f.u.: 0.00
# Raw formation energy, eV per atom: -0.646
# Calculated volume, Å³ per cell: 493.1

***

Entry 20:
# PBE TlZnBr2, relaxed
data_TlZnBr2
_space_group_name_H-M_alt 'F -4 3 m'
_space_group_IT_number 216
_space_group_name_Hall 'F -4 2 3'
_cell_length_a 7.711
_cell_length_b 7.711
_cell_length_c 7.711
_cell_angle_alpha 90.00
_cell_angle_beta 90.00
_cell_angle_gamma 90.00
loop_
_atom_site_label
_atom_site_fract_x
_atom_site_fract_y
_atom_site_fract_z
Tl1 0.000 0.000 0.000
Zn1 0.250 0.250 0.250
Br1 0.000 0.000 0.500
Br2 0.250 0.250 0.750
# Energy above the lowest structure with this stoichiometry, meV per atom: 425
# D(E_F), states/eV per cell: 19.80
# Calculated total energy, eV/cell: -29.4
# Total magnetization, μB/f.u.: 0.00
# Raw formation energy, eV per atom: -0.089
# Calculated volume, Å³ per cell: 458.5